Here is a relaxed structure of Sc2Al5Tc2Ag from Alexandria. Energies are from PBE-GGA.

Summary:
The density of states at the Fermi level is 0.7792 states/eV/atom. The calculation puts the formation energy at -0.2080 eV/atom. As for the space-group type: No. 127.

Cell and atoms, written as CIF:
```
data_Sc2Al5Tc2Ag
_chemical_formula_sum 'Sc4 Al10 Tc4 Ag2'
_cell_length_a 3.470
_cell_length_b 10.085
_cell_length_c 10.085
_cell_angle_alpha 90.00
_cell_angle_beta 90.00
_cell_angle_gamma 90.00
_space_group_name_H-M_alt 'P 1'
_space_group_IT_number 1
loop_
_space_group_symop_operation_xyz
'x,y,z'
loop_
_atom_site_label
_atom_site_fract_x
_atom_site_fract_y
_atom_site_fract_z
_atom_site_occupancy
Ag1 0.000 0.500 0.500 1
Ag2 0.000 0.000 0.000 1
Al1 0.500 0.050 0.797 1
Al2 0.500 0.703 0.450 1
Al3 0.500 0.203 0.050 1
Al4 0.500 0.797 0.950 1
Al5 0.500 0.500 0.000 1
Al6 0.500 0.550 0.703 1
Al7 0.500 0.297 0.550 1
Al8 0.500 0.000 0.500 1
Al9 0.500 0.450 0.297 1
Al10 0.500 0.950 0.203 1
Sc1 0.000 0.689 0.189 1
Sc2 0.000 0.311 0.811 1
Sc3 0.000 0.811 0.689 1
Sc4 0.000 0.189 0.311 1
Tc1 0.000 0.875 0.375 1
Tc2 0.000 0.375 0.125 1
Tc3 0.000 0.125 0.625 1
Tc4 0.000 0.625 0.875 1
```